Entry 1:
First-principles (PBE) data for crystalline Ba2LiTe2 at its relaxed geometry, as listed in Alexandria via LeMat-Bulk.

abc: 6.5421 6.5421 12.4079
angles: 90.00 90.00 90.00
Last column: nearest neighbours and their distance in Å.
Atoms (fractional coordinates):
Ba  0.0000  0.0000  0.1835  4 Te 3.37
Ba  0.0000  0.0000  0.8165  4 Te 3.37
Ba  0.5000  0.5000  0.3165  4 Te 3.37
Ba  0.5000  0.5000  0.6835  4 Te 3.37
Li  0.0000  0.0000  0.5000  2 Ba 3.93
Li  0.5000  0.5000  0.0000  2 Ba 3.93
Te  0.0000  0.5000  0.2500  4 Ba 3.37
Te  0.0000  0.5000  0.7500  4 Ba 3.37
Te  0.5000  0.0000  0.2500  4 Ba 3.37
Te  0.5000  0.0000  0.7500  4 Ba 3.37

Summary:
Density of states at the Fermi level, states/eV/f.u.: 3.36
E_form (uncorrected), eV per formula unit: -4.414
Relative energy among the computed polymorphs, meV/atom: 390
Calculated volume, Å³/cell: 531.05

=====

Entry 2:
First-principles (PBE) data for crystalline V7Rh at its relaxed geometry, as listed in Alexandria via LeMat-Bulk.

abc: 4.2335 4.2335 11.9674
angles: 90.00 90.00 90.00
Last column: nearest neighbours and their distance in Å.
Atoms (fractional coordinates):
V  0.0000  0.0000  0.0000  8 V 2.61
V  0.0000  0.0000  0.2456  8 V 2.55-2.61
V  0.0000  0.0000  0.7544  8 V 2.55-2.61
V  0.0000  0.5000  0.1273  6 V 2.55-2.61, 2 Rh 2.61
V  0.0000  0.5000  0.3727  6 V 2.55-2.61, 2 Rh 2.61
V  0.0000  0.5000  0.6273  6 V 2.55-2.61, 2 Rh 2.61
V  0.0000  0.5000  0.8727  6 V 2.55-2.61, 2 Rh 2.61
V  0.5000  0.0000  0.1273  6 V 2.55-2.61, 2 Rh 2.61
V  0.5000  0.0000  0.3727  6 V 2.55-2.61, 2 Rh 2.61
V  0.5000  0.0000  0.6273  6 V 2.55-2.61, 2 Rh 2.61
V  0.5000  0.0000  0.8727  6 V 2.55-2.61, 2 Rh 2.61
V  0.5000  0.5000  0.2544  8 V 2.55-2.61
V  0.5000  0.5000  0.5000  8 V 2.61
V  0.5000  0.5000  0.7456  8 V 2.55-2.61
Rh  0.0000  0.0000  0.5000  8 V 2.61
Rh  0.5000  0.5000  0.0000  8 V 2.61

Summary:
Energy relative to the elements, kJ per mole of atoms: -18.6
Density of states at the Fermi level, states/eV/f.u.: 6.80
Calculated volume, Å³/cell: 214.49

=====

Entry 3:
First-principles (PBE) data for crystalline AcTb5Pr2Ho at its relaxed geometry, as listed in Alexandria via LeMat-Bulk.

abc: 10.0794 10.0794 10.0794
angles: 127.77 127.77 76.99
Last column: nearest neighbours and their distance in Å.
Atoms (fractional coordinates):
Ac  0.2500  0.2500  0.0000  10 Tb 3.67-3.94
Ac  0.7500  0.7500  0.0000  10 Tb 3.67-3.94
Tb  0.0000  0.0000  0.0000  4 Pr 3.55, 8 Tb 3.82, 2 Ac 3.94
Tb  0.0728  0.5728  0.9144  1 Pr 3.05, 1 Ho 3.18
Tb  0.1583  0.0728  0.5000  1 Pr 3.05, 1 Ho 3.18
Tb  0.3417  0.8417  0.9144  1 Pr 3.05, 1 Ho 3.18
Tb  0.4272  0.3417  0.5000  1 Pr 3.05, 1 Ho 3.18
Tb  0.5000  0.5000  0.0000  4 Pr 3.55, 8 Tb 3.82, 2 Ac 3.94
Tb  0.5728  0.6583  0.5000  1 Pr 3.05, 1 Ho 3.18
Tb  0.6583  0.1583  0.0856  1 Pr 3.05, 1 Ho 3.18
Tb  0.8417  0.9272  0.5000  1 Pr 3.05, 1 Ho 3.18
Tb  0.9272  0.4272  0.0856  1 Pr 3.05, 1 Ho 3.18
Pr  0.1177  0.3823  0.5000  1 Pr 2.95, 2 Tb 3.05
Pr  0.3823  0.8823  0.2646  1 Pr 2.95, 2 Tb 3.05
Pr  0.6177  0.1177  0.7354  1 Pr 2.95, 2 Tb 3.05
Pr  0.8823  0.6177  0.5000  1 Pr 2.95, 2 Tb 3.05
Ho  0.2500  0.7500  0.5000  4 Tb 3.18
Ho  0.7500  0.2500  0.5000  4 Tb 3.18

Summary:
Energy relative to the elements, kJ per mole of atoms: 24.8
Density of states at the Fermi level, states/eV/f.u.: 9.59
Calculated volume, Å³/cell: 621.03